1.
Here is CeTiTcC3 after structural relaxation from Alexandria. Energies are from PBE.

Structure (extended XYZ):
```
12
Lattice="5.527 0.000 0.000 0.000 3.312 0.000 -1.803 0.000 8.041" Properties=species:S:1:pos:R:3 pbc="T T T"
Ce 0.458 0.828 1.596
Ce 3.266 2.484 6.445
Ti 0.494 2.484 4.383
Ti 3.230 0.828 3.658
Tc 0.504 0.828 6.951
Tc 3.220 2.484 1.090
C -0.778 0.828 5.278
C -0.315 2.484 7.889
C 2.007 2.484 2.799
C 1.717 0.828 5.242
C 4.038 0.828 0.152
C 4.502 2.484 2.763
```

**SG**: P2_1/m (11)
**Crystal system**: monoclinic
**Volume**: 147.2 Å³/cell
**E_form**: -5.72 kcal/mol of atoms


2.
Here is TbMg2Si after structural relaxation from Alexandria. Energies are from PBE.

Structure (extended XYZ):
```
4
Lattice="4.280 0.000 0.000 0.000 4.280 0.000 0.000 0.000 4.683" Properties=species:S:1:pos:R:3 pbc="T T T"
Tb 0.000 0.000 0.000
Mg 0.000 2.140 2.341
Mg 2.140 0.000 2.341
Si 2.140 2.140 0.000
```

**Uncorrected formation energy**: -0.3072 eV/atom
**SG**: P4/mmm (123)
**Crystal system**: tetragonal
**Volume**: 85.8 Å³/cell


3.
Here is Ca3Mg3In8 after structural relaxation from Alexandria. Energies are from PBE.

Structure (extended XYZ):
```
14
Lattice="-2.430 5.415 7.007 2.430 -5.415 7.007 2.430 5.415 -7.007" Properties=species:S:1:pos:R:3 pbc="T T T"
Ca 0.000 0.000 0.000
Ca 0.000 0.000 4.052
Ca 0.000 0.000 9.962
Mg 2.430 3.569 0.000
Mg 0.000 5.415 0.000
Mg 0.000 1.846 7.007
In 2.430 -1.444 2.084
In 2.430 -2.266 5.012
In 2.430 1.444 2.084
In 0.000 3.149 1.994
In 2.430 2.266 5.012
In 0.000 3.971 4.923
In 0.000 7.680 1.994
In 0.000 6.858 4.923
```

**SG**: Immm (71)
**Crystal system**: orthorhombic
**Volume**: 368.7 Å³/cell
**E_form**: -6.47 kcal/mol of atoms


Please write out number 2 again, unchanged.
Here is TbMg2Si after structural relaxation from Alexandria. Energies are from PBE.

Structure (extended XYZ):
```
4
Lattice="4.280 0.000 0.000 0.000 4.280 0.000 0.000 0.000 4.683" Properties=species:S:1:pos:R:3 pbc="T T T"
Tb 0.000 0.000 0.000
Mg 0.000 2.140 2.341
Mg 2.140 0.000 2.341
Si 2.140 2.140 0.000
```

**Uncorrected formation energy**: -0.3072 eV/atom
**SG**: P4/mmm (123)
**Crystal system**: tetragonal
**Volume**: 85.8 Å³/cell